[1]
! GGA-PBE NaGaTe3, optimized geometry; values from VASP
! * N(E_F): 1.589 states/eV per atom
! * uncorrected formation energy: 0.428 eV per atom
! * crystal system: cubic
&SYSTEM
  ibrav = 0, nat = 5, ntyp = 3
/
ATOMIC_SPECIES
Na 22.99 Na.upf
Te 127.60 Te.upf
Ga 69.72 Ga.upf
ATOMIC_POSITIONS crystal
Na 0.000 0.000 0.000
Te 0.000 0.500 0.000
Te 0.000 0.000 0.500
Te 0.500 0.000 0.000
Ga 0.500 0.500 0.500
CELL_PARAMETERS angstrom
5.595 0.000 0.000
0.000 5.595 0.000
0.000 0.000 5.595

***

[2]
! GGA-PBE CaAc2C, optimized geometry; values from VASP
! * uncorrected energy: -0.17369 hartree per atom
! * N(E_F): 0.939 states/eV per atom
! * crystal system: trigonal
&SYSTEM
  ibrav = 0, nat = 4, ntyp = 3
/
ATOMIC_SPECIES
Ac 227.00 Ac.upf
C 12.01 C.upf
Ca 40.08 Ca.upf
ATOMIC_POSITIONS crystal
Ac 0.880 0.880 0.360
Ac 0.120 0.120 0.640
C 0.500 0.500 0.500
Ca 0.000 0.000 0.000
CELL_PARAMETERS angstrom
3.884 0.000 0.000
1.942 3.364 0.000
1.942 1.121 10.838

***

[3]
! GGA-PBE U4AsSe3, optimized geometry; values from VASP
! * N(E_F): 2.797 states/eV per atom
! * uncorrected formation energy: -0.930 eV per atom
! * crystal system: tetragonal
&SYSTEM
  ibrav = 0, nat = 8, ntyp = 3
/
ATOMIC_SPECIES
Se 78.96 Se.upf
U 238.03 U.upf
As 74.92 As.upf
ATOMIC_POSITIONS crystal
Se 0.500 0.500 0.250
Se 0.000 0.000 0.500
Se 0.500 0.500 0.750
U 0.000 0.000 0.249
U 0.500 0.500 0.000
U 0.500 0.500 0.500
U 0.000 0.000 0.751
As 0.000 0.000 0.000
CELL_PARAMETERS angstrom
4.066 0.000 0.000
0.000 4.066 0.000
0.000 0.000 11.501

***

[4]
! GGA-PBE TaTe2N2, optimized geometry; values from VASP
! * N(E_F): 0.629 states/eV per atom
! * uncorrected formation energy: 1.534 eV per atom
! * crystal system: tetragonal
&SYSTEM
  ibrav = 0, nat = 5, ntyp = 3
/
ATOMIC_SPECIES
Te 127.60 Te.upf
N 14.01 N.upf
Ta 180.95 Ta.upf
ATOMIC_POSITIONS crystal
Te 0.000 0.500 0.000
Te 0.500 0.000 0.000
N 0.000 0.000 0.500
N 0.000 0.000 0.000
Ta 0.500 0.500 0.500
CELL_PARAMETERS angstrom
4.594 0.000 0.000
0.000 4.594 0.000
0.000 0.000 3.826